# LiErAsO

Crystalline LiErAsO at its relaxed geometry (PBE, OQMD via LeMat-Bulk).

SG: Pmc2_1 (26)
E_tot: -45.3 eV per cell
energy above the most stable polymorph in this dataset: 0.248 eV per atom

a = 3.339 Å, b = 6.741 Å, c = 6.847 Å
α = 90.00°, β = 90.00°, γ = 90.00°
Fractional positions:
Li1 0.000 0.158 0.000
Li2 0.000 0.842 0.500
Er1 0.500 0.480 0.710
Er2 0.500 0.520 0.210
As1 0.000 0.234 0.447
As2 0.000 0.766 0.947
O1 0.500 0.307 0.973
O2 0.500 0.693 0.473


# Zn2Mo

Crystalline Zn2Mo at its relaxed geometry (PBE, OQMD via LeMat-Bulk).

SG: Fd-3m (227)
E_tot: -14.7 eV per cell

a = 8.686 Å, b = 8.686 Å, c = 8.686 Å
α = 60.00°, β = 60.00°, γ = 60.00°
Fractional positions:
Zn1 0.000 0.000 0.000
Zn2 0.000 0.000 0.500
Zn3 0.000 0.500 0.000
Zn4 0.500 0.000 0.000
Mo1 0.125 0.125 0.125
Mo2 0.875 0.875 0.875


# PrGdAl2

Crystalline PrGdAl2 at its relaxed geometry (PBE, OQMD via LeMat-Bulk).

SG: Ama2 (40)
E_tot: -74.0 eV per cell
energy above the most stable polymorph in this dataset: 0.002 eV per atom

a = 5.695 Å, b = 7.620 Å, c = 9.185 Å
α = 90.00°, β = 90.00°, γ = 90.00°
Fractional positions:
Pr1 0.250 0.160 0.000
Pr2 0.250 0.660 0.500
Pr3 0.750 0.340 0.500
Pr4 0.750 0.840 0.000
Gd1 0.250 0.154 0.637
Gd2 0.250 0.654 0.137
Gd3 0.750 0.346 0.137
Gd4 0.750 0.846 0.637
Al1 0.000 0.000 0.322
Al2 0.000 0.500 0.822
Al3 0.250 0.306 0.319
Al4 0.250 0.806 0.819
Al5 0.500 0.000 0.322
Al6 0.500 0.500 0.822
Al7 0.750 0.194 0.819
Al8 0.750 0.694 0.319


# ScCdCuSe3

Crystalline ScCdCuSe3 at its relaxed geometry (PBE, OQMD via LeMat-Bulk).

SG: P2_1/m (11)
E_tot: -53.0 eV per cell
energy above the most stable polymorph in this dataset: 0.000 eV per atom

a = 7.541 Å, b = 3.857 Å, c = 9.132 Å
α = 90.00°, β = 102.76°, γ = 90.00°
Fractional positions:
Sc1 0.185 0.250 0.175
Sc2 0.815 0.750 0.825
Cd1 0.279 0.750 0.721
Cd2 0.721 0.250 0.279
Cu1 0.416 0.750 0.417
Cu2 0.584 0.250 0.583
Se1 0.086 0.250 0.860
Se2 0.231 0.250 0.476
Se3 0.426 0.750 0.153
Se4 0.574 0.250 0.847
Se5 0.769 0.750 0.524
Se6 0.914 0.750 0.140


# Sm3As2P

Crystalline Sm3As2P at its relaxed geometry (PBE, OQMD via LeMat-Bulk).

SG: P-3m1 (164)
E_tot: -38.1 eV per cell

a = 4.176 Å, b = 4.176 Å, c = 10.234 Å
α = 90.00°, β = 90.00°, γ = 120.00°
Fractional positions:
Sm1 0.000 0.000 0.000
Sm2 0.333 0.667 0.661
Sm3 0.667 0.333 0.339
As1 0.333 0.667 0.169
As2 0.667 0.333 0.831
P1 0.000 0.000 0.500


# Dy6IrS2

Crystalline Dy6IrS2 at its relaxed geometry (PBE, OQMD via LeMat-Bulk).

SG: P-62m (189)
E_tot: -52.9 eV per cell

a = 7.895 Å, b = 7.895 Å, c = 3.898 Å
α = 90.00°, β = 90.00°, γ = 120.00°
Fractional positions:
Dy1 0.000 0.255 0.000
Dy2 0.000 0.592 0.500
Dy3 0.255 0.000 0.000
Dy4 0.408 0.408 0.500
Dy5 0.592 0.000 0.500
Dy6 0.745 0.745 0.000
Ir1 0.000 0.000 0.500
S1 0.333 0.667 0.000
S2 0.667 0.333 0.000


What did the second record say?
# Zn2Mo

Crystalline Zn2Mo at its relaxed geometry (PBE, OQMD via LeMat-Bulk).

SG: Fd-3m (227)
E_tot: -14.7 eV per cell

a = 8.686 Å, b = 8.686 Å, c = 8.686 Å
α = 60.00°, β = 60.00°, γ = 60.00°
Fractional positions:
Zn1 0.000 0.000 0.000
Zn2 0.000 0.000 0.500
Zn3 0.000 0.500 0.000
Zn4 0.500 0.000 0.000
Mo1 0.125 0.125 0.125
Mo2 0.875 0.875 0.875